Record 1
First-principles (GGA-PBEsol) data for an optimized crystal structure of ZrAlHg2, as listed in Alexandria via LeMat-Bulk.

Lattice parameters (Å, degrees): 4.8234 4.8234 4.8234 60.00 60.00 60.00
Last column: nearest neighbours and their distance in Å.
Fractional coordinates of all 4 atoms:
Hg: 0.0000 0.0000 0.0000  4 Hg 2.95, 4 Zr 2.95
Hg: 0.7500 0.7500 0.7500  4 Al 2.95, 4 Hg 2.95
Zr: 0.2500 0.2500 0.2500  4 Hg 2.95, 4 Al 2.95
Al: 0.5000 0.5000 0.5000  4 Zr 2.95, 4 Hg 2.95

Computed properties:
formation energy: 20 kJ/mol of formula units
total magnetic moment: 0.001 μB per formula unit
space-group type: F-43m, No. 216



Record 2
First-principles (GGA-PBEsol) data for an optimized crystal structure of ReOs3, as listed in Alexandria via LeMat-Bulk.

Lattice parameters (Å, degrees): 2.7404 4.3290 4.7511 90.00 90.00 90.00
Last column: nearest neighbours and their distance in Å.
Fractional coordinates of all 4 atoms:
Re: 0.0000 0.5000 0.3304  10 Os 2.68-2.77, 2 Re 2.74
Os: 0.0000 0.0000 0.9987  10 Os 2.67-2.75, 2 Re 2.68
Os: 0.5000 0.0000 0.5009  4 Re 2.69, 8 Os 2.69-2.75
Os: 0.5000 0.5000 0.8367  8 Os 2.67-2.74, 4 Re 2.72-2.77

Computed properties:
energy above the lowest structure with this stoichiometry: 0.9 kJ/mol of atoms
formation energy: -26 kJ/mol of formula units
total magnetic moment: 0.000 μB per formula unit
space-group type: Pmm2, No. 25



Record 3
First-principles (GGA-PBEsol) data for an optimized crystal structure of K3ReClF6, as listed in Alexandria via LeMat-Bulk.

Lattice parameters (Å, degrees): 5.9724 8.1790 8.1790 90.00 90.00 90.00
Last column: nearest neighbours and their distance in Å.
Fractional coordinates of all 22 atoms:
K: 0.5000 0.6797 0.1797  8 F 2.83-2.99, 2 Cl 3.00
K: 0.5000 0.8203 0.6797  8 F 2.83-2.99, 2 Cl 3.00
K: 0.0000 0.5000 0.5000  2 Cl 2.99, 4 F 3.04
K: 0.5000 0.1797 0.3203  8 F 2.83-2.99, 2 Cl 3.00
K: 0.5000 0.3203 0.8203  8 F 2.83-2.99, 2 Cl 3.00
K: 0.0000 0.0000 0.0000  2 Cl 2.99, 4 F 3.04
Re: 0.0000 0.5000 0.0000  6 F 1.97
Re: 0.0000 0.0000 0.5000  6 F 1.97
Cl: 0.5000 0.5000 0.5000  6 K 2.99-3.00
Cl: 0.5000 0.0000 0.0000  6 K 2.99-3.00
F: 0.2447 0.8857 0.3857  1 Re 1.97
F: 0.7553 0.6143 0.8857  1 Re 1.97
F: 0.0000 0.1702 0.3298  1 Re 1.97
F: 0.7553 0.8857 0.3857  1 Re 1.97
F: 0.7553 0.3857 0.1143  1 Re 1.97
F: 0.0000 0.8298 0.6702  1 Re 1.97
F: 0.2447 0.1143 0.6143  1 Re 1.97
F: 0.0000 0.6702 0.1702  1 Re 1.97
F: 0.2447 0.6143 0.8857  1 Re 1.97
F: 0.2447 0.3857 0.1143  1 Re 1.97
F: 0.7553 0.1143 0.6143  1 Re 1.97
F: 0.0000 0.3298 0.8298  1 Re 1.97

Computed properties:
total magnetic moment: 3.000 μB per formula unit
space-group type: P4/mbm, No. 127
energy relative to the elements, uncorrected: -2.356 eV/atom



Record 4
First-principles (GGA-PBEsol) data for an optimized crystal structure of TaSbSeN2, as listed in Alexandria via LeMat-Bulk.

Lattice parameters (Å, degrees): 3.9917 3.9917 5.1248 90.00 90.00 90.00
Last column: nearest neighbours and their distance in Å.
Fractional coordinates of all 5 atoms:
Sb: 0.0000 0.0000 0.0000  4 N 2.00
N: 0.0000 0.5000 0.0000  2 Sb 2.00
N: 0.5000 0.0000 0.0000  2 Sb 2.00
Se: 0.0000 0.0000 0.5000  2 Sb 2.56, 4 Ta 2.82
Ta: 0.5000 0.5000 0.5000  4 Se 2.82

Computed properties:
total magnetic moment: 1.435 μB per formula unit
space-group type: P4/mmm, No. 123
energy relative to the elements, uncorrected: 1.447 eV/atom